[1]
The following is a DFT calculation (PBE) of a relaxed structure of ReAgTe2.

Computed properties:
The value obtained for the energy above the lowest structure with this stoichiometry is 0.170 eV per atom. The calculation puts the total magnetization at 0.00 μB per formula unit.

Cell lengths 7.504, 7.504, 7.504 Å; angles 155.03, 148.68, 40.47 degrees
Fractional coordinates of all 4 atoms:
Ag: 0.438 0.438 0.000
Te: 0.062 0.062 0.000
Re: 0.214 0.714 0.500
Te: 0.785 0.285 0.500



[2]
The following is a DFT calculation (PBE) of a relaxed structure of HfSi2.

Computed properties:
The calculation puts the total magnetization at 0.00 μB per formula unit. Its final energy is -7.505 eV/atom.

Cell lengths 7.525, 7.525, 3.647 Å; angles 90.00, 90.00, 151.54 degrees
Fractional coordinates of all 6 atoms:
Si: 0.446 0.554 0.250
Si: 0.750 0.250 0.250
Hf: 0.895 0.105 0.750
Si: 0.554 0.446 0.750
Hf: 0.105 0.895 0.250
Si: 0.250 0.750 0.750